Density functional theory data (PBE) for a geometry-optimized LaMgTlIn structure.

Unit cell a=4.6901 b=4.8413 c=4.8520 alpha=90.00 beta=90.00 gamma=90.00
Space group Pmmm (No. 47)
Unique sites:
La  0.0000  0.0000  0.0000 [1 per cell]
Mg  0.0000  0.5000  0.5000 [1 per cell]
Tl  0.5000  0.0000  0.5000 [1 per cell]
In  0.5000  0.5000  0.0000 [1 per cell]

Computed properties:
- relative energy among the computed polymorphs (meV/atom) = 0
- formation energy (eV/atom) = -0.3532